Entry 1:
# BeCuSiHg

Crystalline BeCuSiHg at its relaxed geometry (PBE, OQMD via LeMat-Bulk).

Theoretical density (g/cm3): 8.5
Distance to the lowest polymorph of the same formula (meV per atom): 0
Total DFT energy (no corrections) (Ry per atom): -0.202

Lattice parameters (Å, degrees): 6.1819 6.1819 6.1819 90.00 90.00 90.00
With the nearest neighbours (Å) after each atom.
Space group F-43m (No. 216)
Inequivalent atoms, fractional coordinates:
Be: 0.0000 0.0000 0.0000 [4 per cell]  4 Hg 2.68, 4 Si 2.68
Cu: 0.0000 0.0000 0.5000 [4 per cell]  4 Si 2.68, 4 Hg 2.68
Si: 0.2500 0.2500 0.2500 [4 per cell]  4 Be 2.68, 4 Cu 2.68
Hg: 0.2500 0.2500 0.7500 [4 per cell]  4 Be 2.68, 4 Cu 2.68

=====

Entry 2:
# La2PrNi2Sn7

Crystalline La2PrNi2Sn7 at its relaxed geometry (PBE, OQMD via LeMat-Bulk).

Magnetization (Bohr magnetons per cell): 0.0
Theoretical density (g/cm3): 7.6
Total DFT energy (no corrections) (Ry per atom): -0.375

Lattice parameters (Å, degrees): 4.6410 27.7581 4.6280 90.00 90.00 90.00
With the nearest neighbours (Å) after each atom.
Space group Cmmm (No. 65)
Inequivalent atoms, fractional coordinates:
La: 0.0000 0.1849 0.0000 [4 per cell]  10 Sn 3.41-3.54, 4 Ni 3.64
Pr: 0.0000 0.5000 0.5000 [2 per cell]  12 Sn 3.28-3.41, 2 Ni 3.56
Ni: 0.0000 0.3717 0.5000 [4 per cell]  5 Sn 2.51-2.55
Sn: 0.0000 0.0000 0.0000 [2 per cell]  4 Pr 3.28, 8 Sn 3.41
Sn: 0.0000 0.0902 0.5000 [4 per cell]  2 Ni 2.55
Sn: 0.0000 0.2814 0.5000 [4 per cell]  1 Ni 2.51
Sn: 0.0000 0.4102 0.0000 [4 per cell]  2 Ni 2.55

=====

Question: Which value of theoretical density does entry 1 give?
Answer: 8.5 g/cm3

=====

Question: Which value of total DFT energy (no corrections) does entry 2 give?
Answer: -0.375 Ry per atom